Rb2Na6In | PBE | optimized geometry

Calculated values
density of states at the Fermi level: 3.1 states/eV per cell
formation energy from the elements: 8.7 meV per atom
space group: No. 12
E_tot: -1.39 eV per atom
crystal system: monoclinic

Geometry as POSCAR:
```
Rb2Na6In
1.0
6.616 -3.847 0.000
6.616 3.847 0.000
-1.844 0.000 7.743
Rb Na In
2 6 1
Cartesian
1.286 0.000 2.831
10.101 0.000 4.912
4.591 1.912 1.376
6.797 1.912 6.367
3.551 0.000 6.252
7.836 0.000 1.491
4.591 -1.912 1.376
6.797 -1.912 6.367
5.694 0.000 3.872
```